Entry 1:
This record from Alexandria via LeMat-Bulk describes Cu2NiS3 after structural relaxation. The functional is GGA-PBE.

Results
Space group ... Imm2 (44)

a b c (Å): 3.6736 10.9369 5.1248
angles (deg): 90.00 90.00 90.00
Sites, in units of the cell vectors:
Cu 0.0000 0.1683 0.0000
Cu 0.0000 0.8317 0.0000
Cu 0.5000 0.3317 0.5000
Cu 0.5000 0.6683 0.5000
Ni 0.0000 0.5000 0.0098
Ni 0.5000 0.0000 0.5098
S 0.0000 0.0000 0.7347
S 0.0000 0.3396 0.7577
S 0.0000 0.6604 0.7577
S 0.5000 0.1604 0.2577
S 0.5000 0.5000 0.2347
S 0.5000 0.8396 0.2577


Entry 2:
This record from Alexandria via LeMat-Bulk describes CuNiS2 after structural relaxation. The functional is GGA-PBE.

Results
Space group ... P3m1 (156)

a b c (Å): 3.4143 3.4143 6.0671
angles (deg): 90.00 90.00 120.00
Sites, in units of the cell vectors:
Cu 0.0000 0.0000 0.0000
Ni 0.6667 0.3333 0.5463
S 0.0000 0.0000 0.3615
S 0.3333 0.6667 0.7730


Entry 3:
This record from Alexandria via LeMat-Bulk describes CuNiS after structural relaxation. The functional is GGA-PBE.

Results
Excess energy over the best structure of this formula in the dataset ... 0.066 eV/atom
Space group ... Cm (8)

a b c (Å): 7.1497 3.3419 3.9725
angles (deg): 90.00 116.42 90.00
Sites, in units of the cell vectors:
Cu 0.0000 0.0000 0.0000
Cu 0.5000 0.5000 0.0000
Ni 0.0988 0.5000 0.5752
Ni 0.5988 0.0000 0.5752
S 0.2919 0.0000 0.5641
S 0.7919 0.5000 0.5641


DOS at the Fermi energy readings, ordered: 0.881 0.560 0.992 states/eV per atom
Formation energy without anion corrections readings, ordered: -1.45 -0.72 -0.26 eV per formula unit
Energy readings, ordered: -4.635 -4.714 -4.753 eV/atom